(1)
First-principles (PBE) data for crystalline K3Co2H9 at its relaxed geometry, as listed in Alexandria.

final energy = -100.684 eV per cell
calculated volume = 13.0 Å³/atom
crystal system = hexagonal

Cell and atoms, written as POSCAR:
```
K3Co2H9
1.0
5.556 0.000 0.000
-2.778 4.811 0.000
0.000 0.000 13.657
K Co H
6 4 18
Cartesian
0.000 0.000 3.414 K
0.000 0.000 10.243 K
0.000 3.208 1.156 K
0.000 3.208 5.672 K
2.778 1.604 7.984 K
2.778 1.604 12.501 K
0.000 3.208 9.133 Co
0.000 3.208 11.352 Co
2.778 1.604 2.305 Co
2.778 1.604 4.523 Co
-1.103 2.571 10.243 H
0.000 2.048 8.175 H
0.000 2.048 12.311 H
-1.005 3.788 8.175 H
-1.005 3.788 12.311 H
1.773 1.024 1.346 H
1.773 1.024 5.482 H
1.103 2.571 10.243 H
0.000 4.481 10.243 H
2.778 0.331 3.414 H
1.675 2.240 3.414 H
1.005 3.788 8.175 H
1.005 3.788 12.311 H
3.782 1.024 1.346 H
3.782 1.024 5.482 H
2.778 2.764 1.346 H
2.778 2.764 5.482 H
3.880 2.240 3.414 H
```

***

(2)
First-principles (PBE) data for crystalline KCo2H2 at its relaxed geometry, as listed in Alexandria.

final energy = -20.753 eV per cell
calculated volume = 13.9 Å³/atom
crystal system = tetragonal

Cell and atoms, written as POSCAR:
```
KCo2H2
1.0
-1.727 1.727 5.831
1.727 -1.727 5.831
1.727 1.727 -5.831
K Co H
1 2 2
Cartesian
0.000 0.000 0.000 K
0.000 0.000 3.062 Co
0.000 0.000 8.601 Co
1.727 0.000 2.916 H
0.000 1.727 2.916 H
```

***

(3)
First-principles (PBE) data for crystalline K2CoH2 at its relaxed geometry, as listed in Alexandria.

final energy = -24.519 eV per cell
calculated volume = 19.5 Å³/atom
crystal system = tetragonal

Cell and atoms, written as POSCAR:
```
K2CoH2
1.0
8.101 0.000 0.000
0.000 8.101 0.000
0.000 0.000 2.970
K Co H
4 2 4
Cartesian
1.186 2.865 0.000 K
2.865 6.915 0.000 K
5.237 1.186 0.000 K
6.915 5.237 0.000 K
0.000 0.000 0.000 Co
4.051 4.051 0.000 Co
1.224 5.275 1.485 H
2.827 1.224 1.485 H
5.275 6.878 1.485 H
6.878 2.827 1.485 H
```

***

(4)
First-principles (PBE) data for crystalline KLiCoH6 at its relaxed geometry, as listed in Alexandria.

final energy = -31.088 eV per cell
calculated volume = 10.8 Å³/atom
crystal system = triclinic

Cell and atoms, written as POSCAR:
```
KLiCoH6
1.0
4.384 0.000 0.000
2.180 4.341 0.000
0.001 0.002 5.125
K Li Co H
1 1 1 6
Cartesian
0.000 0.000 0.000 K
2.180 1.467 2.563 Li
4.392 3.112 2.562 Co
4.375 4.237 1.503 H
4.380 4.237 3.622 H
3.552 2.355 3.548 H
3.559 2.347 1.577 H
5.161 2.286 3.559 H
5.166 2.292 1.564 H
```

***

(5)
First-principles (PBE) data for crystalline K2MgCoH6 at its relaxed geometry, as listed in Alexandria.

final energy = -33.294 eV per cell
calculated volume = 13.8 Å³/atom
crystal system = trigonal

Cell and atoms, written as POSCAR:
```
K2MgCoH6
1.0
5.749 0.000 0.000
-2.875 4.979 0.000
0.000 0.000 4.822
K Mg Co H
2 1 1 6
Cartesian
0.000 3.319 1.465 K
2.875 1.660 3.357 K
0.000 0.000 0.000 Mg
0.000 0.000 2.411 Co
0.000 1.334 3.333 H
-1.719 4.312 3.333 H
1.156 0.667 1.489 H
1.719 4.312 3.333 H
4.594 0.667 1.489 H
2.875 3.645 1.489 H
```

***

(6)
First-principles (PBE) data for crystalline K2MgCoH at its relaxed geometry, as listed in Alexandria.

final energy = -9.735 eV per cell
calculated volume = 34.5 Å³/atom
crystal system = tetragonal

Cell and atoms, written as POSCAR:
```
K2MgCoH
1.0
6.732 0.000 0.000
0.000 6.732 0.000
0.000 0.000 3.809
K Mg Co H
2 1 1 1
Cartesian
0.000 3.366 0.000 K
3.366 0.000 0.000 K
0.000 0.000 0.000 Mg
3.366 3.366 1.905 Co
0.000 0.000 1.905 H
```

***

(7)
First-principles (PBE) data for crystalline KCo2HN at its relaxed geometry, as listed in Alexandria.

final energy = -11.710 eV per cell
calculated volume = 37.3 Å³/atom
crystal system = tetragonal

Cell and atoms, written as POSCAR:
```
KCo2HN
1.0
6.011 0.000 0.000
0.000 6.011 0.000
0.000 0.000 5.165
K Co H N
1 2 1 1
Cartesian
0.000 0.000 0.000 K
0.000 3.006 0.000 Co
3.006 0.000 0.000 Co
3.006 3.006 2.582 H
0.000 0.000 2.582 N
```

***

(8)
First-principles (PBE) data for crystalline K3Na3CoH8 at its relaxed geometry, as listed in Alexandria.

final energy = -43.299 eV per cell
calculated volume = 15.9 Å³/atom
crystal system = trigonal

Cell and atoms, written as POSCAR:
```
K3Na3CoH8
1.0
3.404 1.965 5.942
-3.404 1.965 5.942
0.000 -3.931 5.942
K Na Co H
3 3 1 8
Cartesian
-1.702 -0.983 5.942 K
-1.702 0.983 11.883 K
0.000 1.965 5.942 K
-3.404 0.000 8.912 Na
-1.702 0.983 2.971 Na
1.702 0.983 2.971 Na
0.000 0.000 8.912 Co
0.000 0.000 4.180 H
-1.131 -0.653 9.809 H
0.000 -1.306 8.015 H
-1.131 0.653 8.015 H
1.131 -0.653 9.809 H
0.000 1.306 9.809 H
1.131 0.653 8.015 H
0.000 0.000 13.645 H
```

***

(9)
First-principles (PBE) data for crystalline KCoNiH6 at its relaxed geometry, as listed in Alexandria.

final energy = -34.425 eV per cell
calculated volume = 10.1 Å³/atom
crystal system = monoclinic

Cell and atoms, written as POSCAR:
```
KCoNiH6
1.0
2.256 -3.786 0.000
2.256 3.786 0.000
-0.010 0.000 5.346
K Co Ni H
1 1 1 6
Cartesian
0.000 0.000 0.000 K
2.251 -1.304 2.673 Co
2.251 1.289 2.673 Ni
1.134 -1.853 3.683 H
2.227 -0.043 1.693 H
1.155 -1.897 1.662 H
2.275 -0.043 3.653 H
3.368 -1.853 1.663 H
3.347 -1.897 3.684 H
```